Entry 1:
The following is a DFT calculation (PBE-GGA) of CaAcHo2Se4 after structural relaxation.

The total energy is -43.6 eV per cell. The formation energy without anion corrections comes out at -1392 kJ/mol of formula units. The calculation puts the density at 7.227 Mg/m³.

The structure belongs to space group P2/m (No. 10); the cell edges are 7.2892, 4.1633 and 7.3064 Å and the angles 90.00°, 108.93° and 90.00°. The inequivalent atoms are Ca at (0.0000, 0.0000, 0.0000), Ac at (0.5000, 0.5000, 0.0000), Ho at (0.0000, 0.5000, 0.5000), Ho at (0.5000, 0.0000, 0.5000), Se at (0.2322, 0.0000, 0.7286) and Se at (0.2457, 0.5000, 0.2649).


Entry 2:
The following is a DFT calculation (PBE-GGA) of ScTaH6 after structural relaxation.

The total energy is -79.3 eV per cell. The calculation puts the density at 6.277 Mg/m³.

The structure belongs to space group P4_2/m (No. 84); the cell edges are 4.4503, 4.4503 and 6.1960 Å and the angles 90.00°, 90.00° and 90.00°. The inequivalent atoms are Sc at (0.0000, 0.0000, 0.0000), Ta at (0.5000, 0.5000, 0.2500), H at (0.1524, 0.2635, 0.2496) and H at (0.2570, 0.5303, 0.0000).


Entry 3:
The following is a DFT calculation (PBE-GGA) of Ho6ZnIn5 after structural relaxation.

The total energy is -95.4 eV per cell. The value obtained for the formation energy is -0.44 eV/atom. The calculation puts the density at 8.788 Mg/m³.

The structure belongs to space group Cmmm (No. 65); the cell edges are 5.2760, 15.8316 and 7.3704 Å and the angles 90.00°, 90.00° and 90.00°. The inequivalent atoms are Ho at (0.0000, 0.0000, 0.2426), Ho at (0.0000, 0.3371, 0.2455), Zn at (0.0000, 0.5000, 0.0000), In at (0.0000, 0.1665, 0.0000), In at (0.0000, 0.1685, 0.5000) and In at (0.0000, 0.5000, 0.5000).


Entry 4:
The following is a DFT calculation (PBE-GGA) of CaLa12Er3 after structural relaxation.

The total energy is -74.5 eV per cell. The value obtained for the formation energy is 0.02 eV/atom. The calculation puts the density at 6.405 Mg/m³.

The structure belongs to space group P4/mmm (No. 123); the cell edges are 5.2282, 5.2282 and 20.9493 Å and the angles 90.00°, 90.00° and 90.00°. The inequivalent atoms are Ca at (0.0000, 0.0000, 0.0000), La at (0.0000, 0.5000, 0.1305), La at (0.0000, 0.5000, 0.3764), La at (0.5000, 0.5000, 0.0000), La at (0.5000, 0.5000, 0.2522), La at (0.5000, 0.5000, 0.5000), Er at (0.0000, 0.0000, 0.2520) and Er at (0.0000, 0.0000, 0.5000).


Entry 5:
The following is a DFT calculation (PBE-GGA) of K2CeSnTe4 after structural relaxation.

The total energy is -32.6 eV per cell. The formation energy without anion corrections comes out at -760 kJ/mol of formula units. The calculation puts the density at 4.661 Mg/m³.

The structure belongs to space group P2/m (No. 10); the cell edges are 8.0663, 4.6088 and 8.5226 Å and the angles 90.00°, 107.66° and 90.00°. The inequivalent atoms are K at (0.0000, 0.0000, 0.0000), K at (0.5000, 0.5000, 0.0000), Ce at (0.0000, 0.5000, 0.5000), Sn at (0.5000, 0.0000, 0.5000), Te at (0.2301, 0.0000, 0.7069) and Te at (0.2533, 0.5000, 0.2926).


Entry 6:
The following is a DFT calculation (PBE-GGA) of Th3InFe after structural relaxation.

The total energy is -34.4 eV per cell. The value obtained for the formation energy is -0.19 eV/atom. The calculation puts the density at 10.078 Mg/m³.

The structure belongs to space group Pm-3m (No. 221); the cell edges are 5.2271, 5.2271 and 5.2271 Å and the angles 90.00°, 90.00° and 90.00°. The inequivalent atoms are Th at (0.0000, 0.0000, 0.5000), In at (0.5000, 0.5000, 0.5000) and Fe at (0.0000, 0.0000, 0.0000).


no.,density of states at the Fermi level (states/eV/f.u.)
1,3.28
2,2.53
3,7.05
4,21.83
5,4.19
6,3.41